Record 1
# Al2TeAu (PBE, optimized geometry)
data_Al2TeAu
_symmetry_space_group_name_H-M 'I m m 2'
_symmetry_Int_Tables_number 44
_symmetry_space_group_name_Hall 'I 2 -2'
_cell_length_a 3.737
_cell_length_b 3.824
_cell_length_c 12.004
_cell_angle_alpha 90.00
_cell_angle_beta 90.00
_cell_angle_gamma 90.00
loop_
_atom_site_label
_atom_site_type_symbol
_atom_site_fract_x
_atom_site_fract_y
_atom_site_fract_z
Al1 Al 0.000 0.000 0.000
Al2 Al 0.000 0.500 0.300
Te1 Te 0.000 0.500 0.693
Au1 Au 0.000 0.000 0.456
# - size of the total moment (μB per atom) = 0.000
# - calculated total energy (eV per atom) = -3.5779
# - volume (Å³ per atom) = 21.44
# - ΔE_f (raw) (eV per formula unit) = -0.41
# - theoretical density (g/cm³) = 7.33

Record 2
# AlTe2Au (PBE, optimized geometry)
data_AlTe2Au
_symmetry_space_group_name_H-M 'P 1 2/m 1'
_symmetry_Int_Tables_number 10
_symmetry_space_group_name_Hall '-P 2y'
_cell_length_a 4.989
_cell_length_b 4.115
_cell_length_c 5.211
_cell_angle_alpha 90.00
_cell_angle_beta 109.20
_cell_angle_gamma 90.00
loop_
_atom_site_label
_atom_site_type_symbol
_atom_site_fract_x
_atom_site_fract_y
_atom_site_fract_z
Al1 Al 0.000 0.000 0.000
Te1 Te 0.244 0.500 0.755
Au1 Au 0.500 0.000 0.500
# - size of the total moment (μB per atom) = 0.000
# - calculated total energy (eV per atom) = -3.3120
# - volume (Å³ per atom) = 25.25
# - ΔE_f (raw) (eV per formula unit) = 0.06
# - theoretical density (g/cm³) = 7.88

Record 3
# AlTe2Au (PBE, optimized geometry)
data_AlTe2Au
_symmetry_space_group_name_H-M 'P 4/m m m'
_symmetry_Int_Tables_number 123
_symmetry_space_group_name_Hall '-P 4 2'
_cell_length_a 4.134
_cell_length_b 4.134
_cell_length_c 5.767
_cell_angle_alpha 90.00
_cell_angle_beta 90.00
_cell_angle_gamma 90.00
loop_
_atom_site_label
_atom_site_type_symbol
_atom_site_fract_x
_atom_site_fract_y
_atom_site_fract_z
Al1 Al 0.000 0.000 0.000
Te1 Te 0.000 0.000 0.500
Te2 Te 0.500 0.500 0.000
Au1 Au 0.500 0.500 0.500
# - size of the total moment (μB per atom) = 0.000
# - calculated total energy (eV per atom) = -3.4795
# - volume (Å³ per atom) = 24.64
# - ΔE_f (raw) (eV per formula unit) = -0.61
# - theoretical density (g/cm³) = 8.07

Record 4
# AlTeAu2 (PBE, optimized geometry)
data_AlTeAu2
_symmetry_space_group_name_H-M 'P 1 2/m 1'
_symmetry_Int_Tables_number 10
_symmetry_space_group_name_Hall '-P 2y'
_cell_length_a 3.905
_cell_length_b 4.044
_cell_length_c 5.651
_cell_angle_alpha 90.00
_cell_angle_beta 91.05
_cell_angle_gamma 90.00
loop_
_atom_site_label
_atom_site_type_symbol
_atom_site_fract_x
_atom_site_fract_y
_atom_site_fract_z
Al1 Al 0.000 0.000 0.000
Te1 Te 0.500 0.500 0.500
Au1 Au 0.000 0.000 0.500
Au2 Au 0.500 0.500 0.000
# - size of the total moment (μB per atom) = 0.000
# - calculated total energy (eV per atom) = -3.4041
# - volume (Å³ per atom) = 22.30
# - ΔE_f (raw) (eV per formula unit) = -0.18
# - theoretical density (g/cm³) = 10.21

Record 5
# AlTeAu2 (PBE, optimized geometry)
data_AlTeAu2
_symmetry_space_group_name_H-M 'F m -3 m'
_symmetry_Int_Tables_number 225
_symmetry_space_group_name_Hall '-F 4 2 3'
_cell_length_a 6.933
_cell_length_b 6.933
_cell_length_c 6.933
_cell_angle_alpha 90.00
_cell_angle_beta 90.00
_cell_angle_gamma 90.00
loop_
_atom_site_label
_atom_site_type_symbol
_atom_site_fract_x
_atom_site_fract_y
_atom_site_fract_z
Al1 Al 0.000 0.000 0.000
Te1 Te 0.000 0.000 0.500
Au1 Au 0.250 0.250 0.250
# - size of the total moment (μB per atom) = 0.000
# - calculated total energy (eV per atom) = -3.2225
# - volume (Å³ per atom) = 20.82
# - ΔE_f (raw) (eV per formula unit) = 0.55
# - theoretical density (g/cm³) = 10.93

Record 6
# Al2TeAu (PBE, optimized geometry)
data_Al2TeAu
_symmetry_space_group_name_H-M 'F -4 3 m'
_symmetry_Int_Tables_number 216
_symmetry_space_group_name_Hall 'F -4 2 3'
_cell_length_a 6.967
_cell_length_b 6.967
_cell_length_c 6.967
_cell_angle_alpha 90.00
_cell_angle_beta 90.00
_cell_angle_gamma 90.00
loop_
_atom_site_label
_atom_site_type_symbol
_atom_site_fract_x
_atom_site_fract_y
_atom_site_fract_z
Al1 Al 0.000 0.000 0.000
Al2 Al 0.250 0.250 0.250
Te1 Te 0.250 0.250 0.750
Au1 Au 0.000 0.000 0.500
# - size of the total moment (μB per atom) = 0.000
# - calculated total energy (eV per atom) = -3.2512
# - volume (Å³ per atom) = 21.13
# - ΔE_f (raw) (eV per formula unit) = 0.90
# - theoretical density (g/cm³) = 7.44

Record 7
# AlTeAu2 (PBE, optimized geometry)
data_AlTeAu2
_symmetry_space_group_name_H-M 'P 4/m m m'
_symmetry_Int_Tables_number 123
_symmetry_space_group_name_Hall '-P 4 2'
_cell_length_a 4.437
_cell_length_b 4.437
_cell_length_c 4.165
_cell_angle_alpha 90.00
_cell_angle_beta 90.00
_cell_angle_gamma 90.00
loop_
_atom_site_label
_atom_site_type_symbol
_atom_site_fract_x
_atom_site_fract_y
_atom_site_fract_z
Al1 Al 0.000 0.000 0.000
Te1 Te 0.500 0.500 0.000
Au1 Au 0.000 0.500 0.500
# - size of the total moment (μB per atom) = 0.000
# - calculated total energy (eV per atom) = -3.2230
# - volume (Å³ per atom) = 20.50
# - ΔE_f (raw) (eV per formula unit) = 0.55
# - theoretical density (g/cm³) = 11.11

Record 8
# Al2TeAu (PBE, optimized geometry)
data_Al2TeAu
_symmetry_space_group_name_H-M 'C m m m'
_symmetry_Int_Tables_number 65
_symmetry_space_group_name_Hall '-C 2 2'
_cell_length_a 6.222
_cell_length_b 7.351
_cell_length_c 3.611
_cell_angle_alpha 90.00
_cell_angle_beta 90.00
_cell_angle_gamma 90.00
loop_
_atom_site_label
_atom_site_type_symbol
_atom_site_fract_x
_atom_site_fract_y
_atom_site_fract_z
Al1 Al 0.250 0.250 0.000
Te1 Te 0.000 0.000 0.500
Au1 Au 0.000 0.500 0.500
# - size of the total moment (μB per atom) = 0.000
# - calculated total energy (eV per atom) = -3.3854
# - volume (Å³ per atom) = 20.65
# - ΔE_f (raw) (eV per formula unit) = 0.36
# - theoretical density (g/cm³) = 7.61

Record 9
# AlTe2Au (PBE, optimized geometry)
data_AlTe2Au
_symmetry_space_group_name_H-M 'P n m a'
_symmetry_Int_Tables_number 62
_symmetry_space_group_name_Hall '-P 2ac 2n'
_cell_length_a 7.443
_cell_length_b 4.001
_cell_length_c 14.889
_cell_angle_alpha 90.00
_cell_angle_beta 90.00
_cell_angle_gamma 90.00
loop_
_atom_site_label
_atom_site_type_symbol
_atom_site_fract_x
_atom_site_fract_y
_atom_site_fract_z
Al1 Al 0.052 0.250 0.097
Te1 Te 0.063 0.250 0.790
Te2 Te 0.237 0.250 0.507
Au1 Au 0.096 0.750 0.376
# - size of the total moment (μB per atom) = 0.000
# - calculated total energy (eV per atom) = -3.4318
# - volume (Å³ per atom) = 27.71
# - ΔE_f (raw) (eV per formula unit) = -0.42
# - theoretical density (g/cm³) = 7.18

Record 10
# AlTeAu (PBE, optimized geometry)
data_AlTeAu
_symmetry_space_group_name_H-M 'P 1 m 1'
_symmetry_Int_Tables_number 6
_symmetry_space_group_name_Hall 'P -2y'
_cell_length_a 4.199
_cell_length_b 4.101
_cell_length_c 5.470
_cell_angle_alpha 90.00
_cell_angle_beta 112.25
_cell_angle_gamma 90.00
loop_
_atom_site_label
_atom_site_type_symbol
_atom_site_fract_x
_atom_site_fract_y
_atom_site_fract_z
Al1 Al 0.000 0.000 0.000
Te1 Te 0.664 0.000 0.333
Au1 Au 0.855 0.500 0.712
# - size of the total moment (μB per atom) = 0.000
# - calculated total energy (eV per atom) = -3.6111
# - volume (Å³ per atom) = 29.06
# - ΔE_f (raw) (eV per formula unit) = -0.67
# - theoretical density (g/cm³) = 6.70

Record 11
# AlTe2Au (PBE, optimized geometry)
data_AlTe2Au
_symmetry_space_group_name_H-M 'I b a m'
_symmetry_Int_Tables_number 72
_symmetry_space_group_name_Hall '-I 2 2c'
_cell_length_a 7.119
_cell_length_b 11.056
_cell_length_c 6.686
_cell_angle_alpha 90.00
_cell_angle_beta 90.00
_cell_angle_gamma 90.00
loop_
_atom_site_label
_atom_site_type_symbol
_atom_site_fract_x
_atom_site_fract_y
_atom_site_fract_z
Al1 Al 0.000 0.000 0.250
Te1 Te 0.200 0.138 0.000
Au1 Au 0.000 0.500 0.000
# - size of the total moment (μB per atom) = 0.000
# - calculated total energy (eV per atom) = -3.6508
# - volume (Å³ per atom) = 32.89
# - ΔE_f (raw) (eV per formula unit) = -1.30
# - theoretical density (g/cm³) = 6.05

Record 12
# AlTe2Au (PBE, optimized geometry)
data_AlTe2Au
_symmetry_space_group_name_H-M 'C m m 2'
_symmetry_Int_Tables_number 35
_symmetry_space_group_name_Hall 'C 2 -2'
_cell_length_a 3.896
_cell_length_b 5.181
_cell_length_c 9.722
_cell_angle_alpha 90.00
_cell_angle_beta 90.00
_cell_angle_gamma 90.00
loop_
_atom_site_label
_atom_site_type_symbol
_atom_site_fract_x
_atom_site_fract_y
_atom_site_fract_z
Al1 Al 0.000 0.000 0.000
Te1 Te 0.000 0.000 0.420
Te2 Te 0.000 0.500 0.774
Au1 Au 0.000 0.500 0.167
# - size of the total moment (μB per atom) = 0.000
# - calculated total energy (eV per atom) = -3.2622
# - volume (Å³ per atom) = 24.53
# - ΔE_f (raw) (eV per formula unit) = 0.25
# - theoretical density (g/cm³) = 8.11

Record 13
# AlTe2Au (PBE, optimized geometry)
data_AlTe2Au
_symmetry_space_group_name_H-M 'P 3 m 1'
_symmetry_Int_Tables_number 156
_symmetry_space_group_name_Hall 'P 3 -2"'
_cell_length_a 4.0949
_cell_length_b 4.0949
_cell_length_c 7.4582
_cell_angle_alpha 90.00
_cell_angle_beta 90.00
_cell_angle_gamma 120.00
loop_
_atom_site_label
_atom_site_type_symbol
_atom_site_fract_x
_atom_site_fract_y
_atom_site_fract_z
Al1 Al 0.0000 0.0000 0.0000
Te1 Te 0.3333 0.6667 0.8070
Te2 Te 0.6667 0.3333 0.2330
Au1 Au 0.3333 0.6667 0.4514
# - size of the total moment (μB per atom) = 0.000
# - calculated total energy (eV per atom) = -3.5072
# - volume (Å³ per atom) = 27.08
# - ΔE_f (raw) (eV per formula unit) = -0.73
# - theoretical density (g/cm³) = 7.35

Record 14
# Al2TeAu (PBE, optimized geometry)
data_Al2TeAu
_symmetry_space_group_name_H-M 'P 1 2/m 1'
_symmetry_Int_Tables_number 10
_symmetry_space_group_name_Hall '-P 2y'
_cell_length_a 4.387
_cell_length_b 3.767
_cell_length_c 5.613
_cell_angle_alpha 90.00
_cell_angle_beta 109.42
_cell_angle_gamma 90.00
loop_
_atom_site_label
_atom_site_type_symbol
_atom_site_fract_x
_atom_site_fract_y
_atom_site_fract_z
Al1 Al 0.230 0.000 0.272
Te1 Te 0.500 0.500 0.000
Au1 Au 0.000 0.500 0.500
# - size of the total moment (μB per atom) = 0.000
# - calculated total energy (eV per atom) = -3.5039
# - volume (Å³ per atom) = 21.87
# - ΔE_f (raw) (eV per formula unit) = -0.11
# - theoretical density (g/cm³) = 7.18

Record 15
# Al4TeAu (PBE, optimized geometry)
data_Al4TeAu
_symmetry_space_group_name_H-M 'F -4 3 m'
_symmetry_Int_Tables_number 216
_symmetry_space_group_name_Hall 'F -4 2 3'
_cell_length_a 7.784
_cell_length_b 7.784
_cell_length_c 7.784
_cell_angle_alpha 90.00
_cell_angle_beta 90.00
_cell_angle_gamma 90.00
loop_
_atom_site_label
_atom_site_type_symbol
_atom_site_fract_x
_atom_site_fract_y
_atom_site_fract_z
Al1 Al 0.125 0.125 0.125
Te1 Te 0.000 0.000 0.500
Au1 Au 0.250 0.250 0.750
# - size of the total moment (μB per atom) = 0.000
# - calculated total energy (eV per atom) = -3.3383
# - volume (Å³ per atom) = 19.65
# - ΔE_f (raw) (eV per formula unit) = 1.36
# - theoretical density (g/cm³) = 6.09